Entry 1:
# TlZn2Ni PBE optimized geometry
data_TlZn2Ni
_cell_length_a 4.5079
_cell_length_b 4.5079
_cell_length_c 4.5079
_cell_angle_alpha 60.00
_cell_angle_beta 60.00
_cell_angle_gamma 60.00
_symmetry_space_group_name_H-M 'P 1'
_symmetry_Int_Tables_number 1
_symmetry_space_group_name_Hall 'P 1'
loop_
_atom_site_label
_atom_site_type_symbol
_atom_site_fract_x
_atom_site_fract_y
_atom_site_fract_z
Ni1 Ni 0.5000 0.5000 0.5000
Tl1 Tl 0.7500 0.7500 0.7500
Zn1 Zn 0.2500 0.2500 0.2500
Zn2 Zn 0.0000 0.0000 0.0000
# Calculated density: 10.10 g/cm3
# Size of the total moment: 0.00 μB per cell
# Formation enthalpy at 0 K: 0.254 eV/atom
# Volume: 64.8 Å³/f.u.
# Total DFT energy (no corrections): -2.4201 eV per atom


Entry 2:
# Tl3ZnNi PBE optimized geometry
data_Tl3ZnNi
_cell_length_a 5.1298
_cell_length_b 5.1298
_cell_length_c 5.1298
_cell_angle_alpha 90.00
_cell_angle_beta 90.00
_cell_angle_gamma 90.00
_symmetry_space_group_name_H-M 'P 1'
_symmetry_Int_Tables_number 1
_symmetry_space_group_name_Hall 'P 1'
loop_
_atom_site_label
_atom_site_type_symbol
_atom_site_fract_x
_atom_site_fract_y
_atom_site_fract_z
Tl1 Tl 0.0000 0.0000 0.5000
Tl2 Tl 0.0000 0.5000 0.0000
Tl3 Tl 0.5000 0.0000 0.0000
Zn1 Zn 0.5000 0.5000 0.5000
Ni1 Ni 0.0000 0.0000 0.0000
# Calculated density: 9.07 g/cm3
# Size of the total moment: 0.00 μB per cell
# Formation enthalpy at 0 K: 0.205 eV/atom
# Volume: 135.0 Å³/f.u.
# Total DFT energy (no corrections): -2.6260 eV per atom


Entry 3:
# TlZn2Ni PBE optimized geometry
data_TlZn2Ni
_cell_length_a 4.8953
_cell_length_b 4.8953
_cell_length_c 4.8953
_cell_angle_alpha 131.36
_cell_angle_beta 131.43
_cell_angle_gamma 71.19
_symmetry_space_group_name_H-M 'P 1'
_symmetry_Int_Tables_number 1
_symmetry_space_group_name_Hall 'P 1'
loop_
_atom_site_label
_atom_site_type_symbol
_atom_site_fract_x
_atom_site_fract_y
_atom_site_fract_z
Zn1 Zn 0.7503 0.2503 0.5000
Zn2 Zn 0.0001 0.0001 0.0000
Tl1 Tl 0.2498 0.7498 0.5000
Ni1 Ni 0.4997 0.4997 0.0000
# Calculated density: 10.12 g/cm3
# Size of the total moment: 0.00 μB per cell
# Formation enthalpy at 0 K: 0.191 eV/atom
# Volume: 64.6 Å³/f.u.
# Total DFT energy (no corrections): -2.4831 eV per atom


Entry 4:
# TlZn2Ni PBE optimized geometry
data_TlZn2Ni
_cell_length_a 4.3725
_cell_length_b 4.3725
_cell_length_c 6.2378
_cell_angle_alpha 58.26
_cell_angle_beta 58.26
_cell_angle_gamma 58.44
_symmetry_space_group_name_H-M 'P 1'
_symmetry_Int_Tables_number 1
_symmetry_space_group_name_Hall 'P 1'
loop_
_atom_site_label
_atom_site_type_symbol
_atom_site_fract_x
_atom_site_fract_y
_atom_site_fract_z
Zn1 Zn 0.7622 0.7622 0.7617
Zn2 Zn 0.0953 0.0953 0.7713
Tl1 Tl 0.1915 0.1915 0.2450
Ni1 Ni 0.4510 0.4510 0.7220
# Calculated density: 8.07 g/cm3
# Size of the total moment: 0.00 μB per cell
# Formation enthalpy at 0 K: 0.088 eV/atom
# Volume: 81.1 Å³/f.u.
# Total DFT energy (no corrections): -2.5860 eV per atom


Entry 5:
# TlZn2Ni2 PBE optimized geometry
data_TlZn2Ni2
_cell_length_a 7.0314
_cell_length_b 7.0314
_cell_length_c 3.0316
_cell_angle_alpha 90.00
_cell_angle_beta 90.00
_cell_angle_gamma 90.00
_symmetry_space_group_name_H-M 'P 1'
_symmetry_Int_Tables_number 1
_symmetry_space_group_name_Hall 'P 1'
loop_
_atom_site_label
_atom_site_type_symbol
_atom_site_fract_x
_atom_site_fract_y
_atom_site_fract_z
Ni1 Ni 0.1437 0.3563 0.0000
Ni2 Ni 0.3563 0.8563 0.0000
Ni3 Ni 0.8563 0.6437 0.0000
Ni4 Ni 0.6437 0.1437 0.0000
Zn1 Zn 0.3544 0.1456 0.5000
Zn2 Zn 0.1456 0.6456 0.5000
Zn3 Zn 0.6456 0.8544 0.5000
Zn4 Zn 0.8544 0.3544 0.5000
Tl1 Tl 0.5000 0.5000 0.0000
Tl2 Tl 0.0000 0.0000 0.0000
# Calculated density: 10.03 g/cm3
# Size of the total moment: 0.00 μB per cell
# Formation enthalpy at 0 K: 0.026 eV/atom
# Volume: 74.9 Å³/f.u.
# Total DFT energy (no corrections): -3.2692 eV per atom


Entry 6:
# TlZnNi2 PBE optimized geometry
data_TlZnNi2
_cell_length_a 4.3444
_cell_length_b 4.3444
_cell_length_c 4.3444
_cell_angle_alpha 60.00
_cell_angle_beta 60.00
_cell_angle_gamma 60.00
_symmetry_space_group_name_H-M 'P 1'
_symmetry_Int_Tables_number 1
_symmetry_space_group_name_Hall 'P 1'
loop_
_atom_site_label
_atom_site_type_symbol
_atom_site_fract_x
_atom_site_fract_y
_atom_site_fract_z
Ni1 Ni 0.7500 0.7500 0.7500
Ni2 Ni 0.2500 0.2500 0.2500
Zn1 Zn 0.0000 0.0000 0.0000
Tl1 Tl 0.5000 0.5000 0.5000
# Calculated density: 11.09 g/cm3
# Size of the total moment: 0.00 μB per cell
# Formation enthalpy at 0 K: 0.102 eV/atom
# Volume: 58.0 Å³/f.u.
# Total DFT energy (no corrections): -3.6982 eV per atom


Entry 7:
# TlZnNi2 PBE optimized geometry
data_TlZnNi2
_cell_length_a 6.8247
_cell_length_b 4.1519
_cell_length_c 3.3753
_cell_angle_alpha 90.15
_cell_angle_beta 60.15
_cell_angle_gamma 128.28
_symmetry_space_group_name_H-M 'P 1'
_symmetry_Int_Tables_number 1
_symmetry_space_group_name_Hall 'P 1'
loop_
_atom_site_label
_atom_site_type_symbol
_atom_site_fract_x
_atom_site_fract_y
_atom_site_fract_z
Ni1 Ni 0.0000 0.0000 0.0000
Ni2 Ni 0.5000 0.0000 0.5000
Zn1 Zn 0.5000 0.5000 0.0000
Tl1 Tl 0.0000 0.5000 0.5000
# Calculated density: 11.05 g/cm3
# Size of the total moment: 0.00 μB per cell
# Formation enthalpy at 0 K: 0.122 eV/atom
# Volume: 58.2 Å³/f.u.
# Total DFT energy (no corrections): -3.6788 eV per atom


Entry 8:
# TlZn2Ni PBE optimized geometry
data_TlZn2Ni
_cell_length_a 8.6783
_cell_length_b 8.6783
_cell_length_c 8.6783
_cell_angle_alpha 20.78
_cell_angle_beta 20.78
_cell_angle_gamma 20.78
_symmetry_space_group_name_H-M 'P 1'
_symmetry_Int_Tables_number 1
_symmetry_space_group_name_Hall 'P 1'
loop_
_atom_site_label
_atom_site_type_symbol
_atom_site_fract_x
_atom_site_fract_y
_atom_site_fract_z
Ni1 Ni 0.2500 0.2500 0.2500
Zn1 Zn 0.9834 0.9834 0.9834
Zn2 Zn 0.5166 0.5166 0.5166
Tl1 Tl 0.7500 0.7500 0.7500
# Calculated density: 9.08 g/cm3
# Size of the total moment: 0.00 μB per cell
# Formation enthalpy at 0 K: 0.168 eV/atom
# Volume: 72.0 Å³/f.u.
# Total DFT energy (no corrections): -2.5058 eV per atom


Entry 9:
# TlZn2Ni PBE optimized geometry
data_TlZn2Ni
_cell_length_a 4.1121
_cell_length_b 3.9700
_cell_length_c 3.9700
_cell_angle_alpha 90.00
_cell_angle_beta 90.00
_cell_angle_gamma 90.00
_symmetry_space_group_name_H-M 'P 1'
_symmetry_Int_Tables_number 1
_symmetry_space_group_name_Hall 'P 1'
loop_
_atom_site_label
_atom_site_type_symbol
_atom_site_fract_x
_atom_site_fract_y
_atom_site_fract_z
Ni1 Ni 0.5000 0.5000 0.0000
Zn1 Zn 0.0000 0.0000 0.0000
Zn2 Zn 0.0000 0.5000 0.5000
Tl1 Tl 0.5000 0.0000 0.5000
# Calculated density: 10.09 g/cm3
# Size of the total moment: 0.00 μB per cell
# Formation enthalpy at 0 K: 0.209 eV/atom
# Volume: 64.8 Å³/f.u.
# Total DFT energy (no corrections): -2.4651 eV per atom


Entry 10:
# TlZnNi2 PBE optimized geometry
data_TlZnNi2
_cell_length_a 3.1415
_cell_length_b 2.9895
_cell_length_c 6.2058
_cell_angle_alpha 90.00
_cell_angle_beta 90.00
_cell_angle_gamma 90.00
_symmetry_space_group_name_H-M 'P 1'
_symmetry_Int_Tables_number 1
_symmetry_space_group_name_Hall 'P 1'
loop_
_atom_site_label
_atom_site_type_symbol
_atom_site_fract_x
_atom_site_fract_y
_atom_site_fract_z
Ni1 Ni 0.0000 0.0000 0.5365
Ni2 Ni 0.0000 0.0000 0.9635
Tl1 Tl 0.5000 0.5000 0.2500
Zn1 Zn 0.5000 0.5000 0.7500
# Calculated density: 11.03 g/cm3
# Size of the total moment: 0.00 μB per cell
# Formation enthalpy at 0 K: 0.099 eV/atom
# Volume: 58.3 Å³/f.u.
# Total DFT energy (no corrections): -3.7018 eV per atom


Entry 11:
# TlZn2Ni2 PBE optimized geometry
data_TlZn2Ni2
_cell_length_a 7.2106
_cell_length_b 7.2106
_cell_length_c 2.8560
_cell_angle_alpha 90.00
_cell_angle_beta 90.00
_cell_angle_gamma 90.00
_symmetry_space_group_name_H-M 'P 1'
_symmetry_Int_Tables_number 1
_symmetry_space_group_name_Hall 'P 1'
loop_
_atom_site_label
_atom_site_type_symbol
_atom_site_fract_x
_atom_site_fract_y
_atom_site_fract_z
Zn1 Zn 0.6270 0.1270 0.0000
Zn2 Zn 0.8730 0.6270 0.0000
Zn3 Zn 0.1270 0.3730 0.0000
Zn4 Zn 0.3730 0.8730 0.0000
Ni1 Ni 0.6644 0.8356 0.5000
Ni2 Ni 0.1644 0.6644 0.5000
Ni3 Ni 0.3356 0.1644 0.5000
Ni4 Ni 0.8356 0.3356 0.5000
Tl1 Tl 0.5000 0.5000 0.0000
Tl2 Tl 0.0000 0.0000 0.0000
# Calculated density: 10.12 g/cm3
# Size of the total moment: 0.00 μB per cell
# Formation enthalpy at 0 K: 0.080 eV/atom
# Volume: 74.2 Å³/f.u.
# Total DFT energy (no corrections): -3.2158 eV per atom


Entry 12:
# TlZn2Ni PBE optimized geometry
data_TlZn2Ni
_cell_length_a 5.8722
_cell_length_b 5.8722
_cell_length_c 5.8722
_cell_angle_alpha 151.23
_cell_angle_beta 135.08
_cell_angle_gamma 54.22
_symmetry_space_group_name_H-M 'P 1'
_symmetry_Int_Tables_number 1
_symmetry_space_group_name_Hall 'P 1'
loop_
_atom_site_label
_atom_site_type_symbol
_atom_site_fract_x
_atom_site_fract_y
_atom_site_fract_z
Zn1 Zn 0.9544 0.9544 0.0000
Zn2 Zn 0.5456 0.5456 0.0000
Ni1 Ni 0.7500 0.2500 0.5000
Tl1 Tl 0.2500 0.7500 0.5000
# Calculated density: 9.56 g/cm3
# Size of the total moment: 0.00 μB per cell
# Formation enthalpy at 0 K: 0.124 eV/atom
# Volume: 68.4 Å³/f.u.
# Total DFT energy (no corrections): -2.5501 eV per atom